Computed, not measured: a relaxed structure of AlCoO3 at the PBE with a Hubbard U level of DFT.

Cell: 4.9213 7.3503 4.7448 Å, 90.00 90.00 90.00°
Atoms (fractional coordinates):
Al 0.0666 0.2500 0.0291
Al 0.4334 0.7500 0.5291
Al 0.5666 0.2500 0.4709
Al 0.9334 0.7500 0.9709
Co 0.0000 0.0000 0.5000
Co 0.0000 0.5000 0.5000
Co 0.5000 0.0000 0.0000
Co 0.5000 0.5000 0.0000
O 0.0868 0.7500 0.3454
O 0.1871 0.5856 0.8162
O 0.1871 0.9144 0.8162
O 0.3129 0.0856 0.3162
O 0.3129 0.4144 0.3162
O 0.4132 0.2500 0.8454
O 0.5868 0.7500 0.1546
O 0.6871 0.5856 0.6838
O 0.6871 0.9144 0.6838
O 0.8129 0.0856 0.1838
O 0.8129 0.4144 0.1838
O 0.9132 0.2500 0.6546

Results
The total magnetic moment is 0.0 μB per formula unit. For the final energy, the calculation gives -6.531 eV/atom.